This record from the Alexandria database describes a relaxed structure of Si2PPb. The functional is PBE.

Cell lengths 4.786, 4.786, 4.786 Å; angles 60.00, 60.00, 60.00 degrees
Atoms (fractional coordinates):
Pb1 0.500 0.500 0.500
P1 0.000 0.000 0.000
Si1 0.250 0.250 0.250
Si2 0.750 0.750 0.750

Computed properties:
* mass density: 6.3 g/cm3
* Fermi-level density of states: 0.414 states/eV/atom
* uncorrected formation energy: 0.75 eV/atom